Here is a relaxed Mn6CrCo crystal from Alexandria via LeMat-Bulk. Energies are from GGA-PBE.

a = 5.633 Å, b = 6.410 Å, c = 11.468 Å
α = 90.00°, β = 90.00°, γ = 116.06°
Each line ends with the local moment (μB).
Positions (direct):
Mn 0.251 0.501 0.748  -0.15
Mn 0.877 0.253 0.126  2.55
Mn 0.376 0.253 0.874  2.55
Mn 0.500 0.000 0.500  -1.03
Mn 0.126 0.750 0.624  2.22
Mn 0.874 0.250 0.376  2.22
Mn 0.874 0.250 0.624  2.22
Mn 0.123 0.747 0.874  2.55
Mn 0.624 0.747 0.126  2.55
Mn 0.749 0.499 0.252  -0.15
Cr 0.000 0.000 0.250  -1.72
Cr 0.248 0.495 0.500  -1.46
Co 0.249 0.498 0.000  1.50
Mn 0.000 0.000 0.000  -1.16
Mn 0.251 0.501 0.252  -0.15
Co 0.500 0.000 0.248  1.45
Mn 0.623 0.750 0.376  2.22
Mn 0.376 0.253 0.126  2.55
Mn 0.623 0.750 0.624  2.22
Cr 0.752 0.505 0.500  -1.46
Mn 0.000 0.000 0.500  0.90
Mn 0.877 0.253 0.874  2.55
Mn 0.123 0.747 0.126  2.55
Co 0.751 0.502 0.000  1.50
Mn 0.500 0.000 0.000  -1.44
Mn 0.377 0.250 0.376  2.22
Cr 0.000 0.000 0.750  -1.72
Co 0.500 0.000 0.752  1.45
Mn 0.749 0.499 0.748  -0.15
Mn 0.377 0.250 0.624  2.22
Mn 0.624 0.747 0.874  2.55
Mn 0.126 0.750 0.376  2.22

Computed properties:
Calculated formation energy in kJ/mol of formula units: 64
Calculated total energy in hartree per atom: -0.3265